NaMg2BiO | PBE | relaxed

Properties
The symmetry is No. 123. As for the formation energy from raw total energies: -0.666 eV per atom. The calculation puts the mass density at 4.70 Mg/m³. The uncorrected energy is -3.335 eV per atom.

abc: 4.318 5.616 4.318
angles: 90.00 90.00 90.00
Fractional coordinates of all 5 atoms:
1 Bi 0.000 0.500 0.000
2 O 0.000 0.000 0.000
3 Mg 0.000 0.000 0.500
4 Mg 0.500 0.000 0.000
5 Na 0.500 0.500 0.500